#A
4
Lattice="0.0000 3.3866 3.3866 3.3866 0.0000 3.3866 3.3866 3.3866 0.0000" Properties=species:S:1:pos:R:3 comment="BeTl2V, optimized geometry, DFT GGA-PBE" sg="No. 225" pbc="T T T"
Be 0.0000 0.0000 0.0000
Tl 1.6933 1.6933 1.6933
Tl 5.0799 5.0799 5.0799
V 3.3866 3.3866 3.3866

***

#B
8
Lattice="-3.7205 3.7205 2.9044 3.7205 -3.7205 2.9044 3.7205 3.7205 -2.9044" Properties=species:S:1:pos:R:3 comment="BeTl2V, optimized geometry, DFT GGA-PBE" sg="No. 122" pbc="T T T"
Be 0.0000 0.0000 0.0000
Be 0.0000 3.7205 1.4522
Tl 1.8603 1.5280 -0.7261
Tl 2.1925 -1.8603 3.6305
Tl 1.8603 2.1925 2.1783
Tl 1.5280 5.5808 0.7261
V 3.7205 0.0000 1.4522
V 0.0000 0.0000 2.9044

***

Which of them is least stable? Easy: #B.

***

#A
3
Lattice="4.4510 0.0000 0.0000 -2.2255 3.8547 0.0000 0.0000 0.0000 2.8276" Properties=species:S:1:pos:R:3 comment="BeTlW, optimized geometry, DFT GGA-PBE" sg="No. 156" pbc="T T T"
Be 0.0000 0.0000 0.0000
Tl 2.2255 1.2849 0.0128
W 0.0000 2.5698 1.4255

***

#B
3
Lattice="-1.4427 1.7122 5.0776 1.4427 -1.7122 5.0776 1.4427 1.7122 -5.0776" Properties=species:S:1:pos:R:3 comment="BeTlW, optimized geometry, DFT GGA-PBE" sg="No. 44" pbc="T T T"
Be 0.0000 0.0000 0.0000
Tl 0.0000 0.0000 7.0750
W 0.0000 0.0000 4.0965

***

#C
3
Lattice="-1.4063 1.4063 6.9248 1.4063 -1.4063 6.9248 1.4063 1.4063 -6.9248" Properties=species:S:1:pos:R:3 comment="BeTlW, optimized geometry, DFT GGA-PBE" sg="No. 107" pbc="T T T"
Be 0.0000 0.0000 0.0000
Tl 0.0000 0.0000 9.6973
W 0.0000 0.0000 5.3813

***

#D
3
Lattice="2.9496 0.0000 0.0000 -1.4748 2.5545 0.0000 0.0000 0.0000 6.8482" Properties=species:S:1:pos:R:3 comment="BeTlW, optimized geometry, DFT GGA-PBE" sg="No. 156" pbc="T T T"
Be 0.0000 0.0000 0.0000
Tl 0.0000 1.7030 2.3778
W 1.4748 0.8515 4.9733

***

Which of them is least stable? Easy: #A.

***

#A
4
Lattice="2.8712 -3.4633 0.0000 2.8712 3.4633 0.0000 -0.0103 0.0000 2.8683" Properties=species:S:1:pos:R:3 comment="Be2TlW, optimized geometry, DFT GGA-PBE" sg="No. 12" pbc="T T T"
Be 1.4356 1.7316 0.0000
Be 1.4356 -1.7316 0.0000
Tl -0.0051 0.0000 1.4342
W 2.8661 0.0000 1.4342

***

#B
4
Lattice="-1.4646 2.3691 4.4623 1.4646 -2.3691 4.4623 1.4646 2.3691 -4.4623" Properties=species:S:1:pos:R:3 comment="Be2TlW, optimized geometry, DFT GGA-PBE" sg="No. 71" pbc="T T T"
Be 0.0000 0.0000 2.0419
Be 0.0000 0.0000 6.8827
Tl 0.0000 2.3691 0.0000
W 1.4646 0.0000 0.0000

***

Which of them is least stable? Easy: #B.

***

#A
4
Lattice="3.0438 0.0000 0.0000 0.0000 3.3695 0.0000 -0.0160 0.0000 5.8228" Properties=species:S:1:pos:R:3 comment="Be2TlW, optimized geometry, DFT GGA-PBE" sg="No. 10" pbc="T T T"
Be 0.0011 0.0000 1.0186
Be 3.0267 0.0000 4.8043
Tl 1.5139 1.6847 2.9114
W 1.5219 1.6847 0.0000

***

#B
4
Lattice="2.9639 0.0000 0.0000 0.0000 2.9639 0.0000 0.0000 0.0000 6.5997" Properties=species:S:1:pos:R:3 comment="Be2TlW, optimized geometry, DFT GGA-PBE" sg="No. 99" pbc="T T T"
Be 0.0000 0.0000 0.0000
Be 1.4820 1.4820 0.9757
Tl 0.0000 0.0000 2.9287
W 1.4820 1.4820 5.2041

***

#C
4
Lattice="4.7226 -1.4298 0.0000 4.7226 1.4298 0.0000 -1.3494 0.0000 4.2023" Properties=species:S:1:pos:R:3 comment="Be2TlW, optimized geometry, DFT GGA-PBE" sg="No. 8" pbc="T T T"
Be 0.0000 0.0000 0.0000
Be 6.2532 0.0000 1.2965
Tl 1.1092 0.0000 3.4219
W 3.6680 0.0000 1.8722

***

Which of them is least stable? Easy: #B.

***

#A
4
Lattice="-1.9778 1.9778 3.6916 1.9778 -1.9778 3.6916 1.9778 1.9778 -3.6916" Properties=species:S:1:pos:R:3 comment="Be2TlW, optimized geometry, DFT GGA-PBE" sg="No. 139" pbc="T T T"
Be 1.9778 0.0000 1.8458
Be 0.0000 1.9778 1.8458
Tl 0.0000 0.0000 0.0000
W 0.0000 0.0000 3.6916

***

#B
4
Lattice="1.4647 0.8457 8.4585 -1.4647 0.8457 8.4585 0.0000 -1.6913 8.4585" Properties=species:S:1:pos:R:3 comment="Be2TlW, optimized geometry, DFT GGA-PBE" sg="No. 166" pbc="T T T"
Be 0.0000 0.0000 6.1515
Be 0.0000 0.0000 19.2241
Tl 0.0000 0.0000 0.0000
W 0.0000 0.0000 12.6878

***

Which of them is least stable? Easy: #A.

***

#A
5
Lattice="4.9550 0.0000 0.0000 0.0000 4.9550 0.0000 0.0000 0.0000 4.9550" Properties=species:S:1:pos:R:3 comment="BeTl3W, optimized geometry, DFT GGA-PBE" sg="No. 221" pbc="T T T"
Be 0.0000 0.0000 0.0000
Tl 0.0000 0.0000 2.4775
Tl 0.0000 2.4775 0.0000
Tl 2.4775 0.0000 0.0000
W 2.4775 2.4775 2.4775

***

#B
5
Lattice="5.4315 0.0000 0.0000 0.0000 5.4315 0.0000 0.0000 0.0000 5.4315" Properties=species:S:1:pos:R:3 comment="BeTl3W, optimized geometry, DFT GGA-PBE" sg="No. 221" pbc="T T T"
Be 0.0000 0.0000 0.0000
Tl 0.0000 2.7157 2.7157
Tl 2.7157 0.0000 2.7157
Tl 2.7157 2.7157 0.0000
W 2.7157 2.7157 2.7157

***

Which of them is least stable? Easy: #A.